# ZrW2Cl

A geometry-optimized ZrW2Cl structure (PBE-GGA, Alexandria via LeMat-Bulk).

Raw total energy: -9.0148 eV per atom

Cell: 3.1779 3.1779 28.6413 Å, 90.00 90.00 120.00°
With the nearest neighbours (Å) after each atom.
Space group R3m (No. 160, hexagonal axes)
Unique sites:
Zr: 0.0000 0.0000 0.0000 (multiplicity 3)  3 Cl 2.60
W: 0.0000 0.0000 0.4789 (multiplicity 3)  3 W 2.55
W: 0.0000 0.0000 0.7504 (multiplicity 3)  3 W 2.55
Cl: 0.0000 0.0000 0.2689 (multiplicity 3)  3 Zr 2.60